An optimized crystal structure of TaFeNi2H. Source: Alexandria via LeMat-Bulk, functional PBE.

Output
ΔE to the lowest computed polymorph	0.00	kcal/mol of atoms

Cell lengths 3.6141, 3.6141, 3.8872 Å; angles 90.00, 90.00, 90.00 degrees
Closest atoms and distances in Å follow each position.
Space group P4/mmm (No. 123)
Unique sites:
Ta: 0.0000 0.0000 0.0000 x1  4 Fe 2.56, 8 Ni 2.65
Fe: 0.5000 0.5000 0.0000 x1  2 H 1.94
Ni: 0.0000 0.5000 0.5000 x2  2 H 1.81
H: 0.5000 0.5000 0.5000 x1  4 Ni 1.81, 2 Fe 1.94

---

An optimized crystal structure of TaFe2NiH. Source: Alexandria via LeMat-Bulk, functional PBE.

Output
ΔE to the lowest computed polymorph	38.33	kcal/mol of atoms

Cell lengths 4.3469, 4.3469, 4.5672 Å; angles 90.00, 90.00, 90.00 degrees
Closest atoms and distances in Å follow each position.
Space group P4/mmm (No. 123)
Unique sites:
Ta: 0.0000 0.0000 0.0000 x1  2 Ni 2.28
Fe: 0.0000 0.5000 0.5000 x2  2 Ni 2.17
Ni: 0.0000 0.0000 0.5000 x1  4 Fe 2.17, 2 Ta 2.28
H: 0.5000 0.5000 0.0000 x1  4 Ta 3.07, 8 Fe 3.15

---

An optimized crystal structure of TaFe2NiH. Source: Alexandria via LeMat-Bulk, functional PBE.

Output
ΔE to the lowest computed polymorph	1.14	kcal/mol of atoms

Cell lengths 3.6468, 3.6468, 3.9143 Å; angles 90.00, 90.00, 90.00 degrees
Closest atoms and distances in Å follow each position.
Space group P4/mmm (No. 123)
Unique sites:
Ta: 0.0000 0.0000 0.0000 x1  2 H 1.96
Fe: 0.0000 0.5000 0.5000 x2  2 H 1.82
Ni: 0.5000 0.5000 0.0000 x1  4 Ta 2.58, 8 Fe 2.67
H: 0.0000 0.0000 0.5000 x1  4 Fe 1.82, 2 Ta 1.96

---

An optimized crystal structure of TaFe2NiH. Source: Alexandria via LeMat-Bulk, functional PBE.

Output
ΔE to the lowest computed polymorph	0.00	kcal/mol of atoms

Cell lengths 3.7479, 3.7479, 3.5825 Å; angles 90.00, 90.00, 90.00 degrees
Closest atoms and distances in Å follow each position.
Space group P4/mmm (No. 123)
Unique sites:
Ta: 0.0000 0.0000 0.0000 x1  8 Fe 2.59, 4 Ni 2.65
Fe: 0.0000 0.5000 0.5000 x2  2 H 1.87
Ni: 0.5000 0.5000 0.0000 x1  2 H 1.79
H: 0.5000 0.5000 0.5000 x1  2 Ni 1.79, 4 Fe 1.87

---

An optimized crystal structure of TaFeNi2H. Source: Alexandria via LeMat-Bulk, functional PBE.

Output
ΔE to the lowest computed polymorph	1.90	kcal/mol of atoms

Cell lengths 3.5644, 3.5644, 4.0673 Å; angles 90.00, 90.00, 90.00 degrees
Closest atoms and distances in Å follow each position.
Space group P4/mmm (No. 123)
Unique sites:
Ta: 0.0000 0.0000 0.0000 x1  2 H 2.03
Fe: 0.5000 0.5000 0.0000 x1  4 Ta 2.52, 8 Ni 2.70
Ni: 0.0000 0.5000 0.5000 x2  2 H 1.78
H: 0.0000 0.0000 0.5000 x1  4 Ni 1.78

---

An optimized crystal structure of Fe2TcNiH. Source: Alexandria via LeMat-Bulk, functional PBE.

Output
ΔE to the lowest computed polymorph	0.14	kcal/mol of atoms

Cell lengths 3.6494, 3.6494, 3.7857 Å; angles 90.00, 90.00, 90.00 degrees
Closest atoms and distances in Å follow each position.
Space group P4/mmm (No. 123)
Unique sites:
Fe: 0.0000 0.5000 0.0000 x2  2 H 1.82
Tc: 0.0000 0.0000 0.5000 x1  2 H 1.89
Ni: 0.5000 0.5000 0.5000 x1  4 Tc 2.58, 8 Fe 2.63
H: 0.0000 0.0000 0.0000 x1  4 Fe 1.82, 2 Tc 1.89

---

An optimized crystal structure of FeTc2NiH. Source: Alexandria via LeMat-Bulk, functional PBE.

Output
ΔE to the lowest computed polymorph	0.39	kcal/mol of atoms

Cell lengths 3.8156, 3.8156, 3.7107 Å; angles 90.00, 90.00, 90.00 degrees
Closest atoms and distances in Å follow each position.
Space group P4/mmm (No. 123)
Unique sites:
Fe: 0.0000 0.0000 0.0000 x1  2 H 1.86
Tc: 0.0000 0.5000 0.5000 x2  2 H 1.91
Ni: 0.5000 0.5000 0.0000 x1  8 Tc 2.66, 4 Fe 2.70
H: 0.0000 0.0000 0.5000 x1  2 Fe 1.86, 4 Tc 1.91

---

An optimized crystal structure of FeTc2NiH. Source: Alexandria via LeMat-Bulk, functional PBE.

Output
ΔE to the lowest computed polymorph	0.00	kcal/mol of atoms

Cell lengths 3.8583, 3.8583, 3.6345 Å; angles 90.00, 90.00, 90.00 degrees
Closest atoms and distances in Å follow each position.
Space group P4/mmm (No. 123)
Unique sites:
Fe: 0.0000 0.0000 0.0000 x1  8 Tc 2.65, 4 Ni 2.73
Tc: 0.0000 0.5000 0.5000 x2  2 H 1.93
Ni: 0.5000 0.5000 0.0000 x1  2 H 1.82
H: 0.5000 0.5000 0.5000 x1  2 Ni 1.82, 4 Tc 1.93

---

An optimized crystal structure of Fe2TcNiH. Source: Alexandria via LeMat-Bulk, functional PBE.

Output
ΔE to the lowest computed polymorph	0.00	kcal/mol of atoms

Cell lengths 3.6681, 3.6681, 3.6022 Å; angles 90.00, 90.00, 90.00 degrees
Closest atoms and distances in Å follow each position.
Space group P4/mmm (No. 123)
Unique sites:
Fe: 0.0000 0.5000 0.0000 x2  2 H 1.83
Tc: 0.0000 0.0000 0.5000 x1  8 Fe 2.57, 4 Ni 2.59
Ni: 0.5000 0.5000 0.5000 x1  2 H 1.80
H: 0.5000 0.5000 0.0000 x1  2 Ni 1.80, 4 Fe 1.83

---

An optimized crystal structure of TiFeNi2H. Source: Alexandria via LeMat-Bulk, functional PBE.

Output
ΔE to the lowest computed polymorph	0.83	kcal/mol of atoms

Cell lengths 3.5502, 3.5502, 3.9689 Å; angles 90.00, 90.00, 90.00 degrees
Closest atoms and distances in Å follow each position.
Space group P4/mmm (No. 123)
Unique sites:
Ti: 0.0000 0.0000 0.0000 x1  2 H 1.98
Fe: 0.5000 0.5000 0.0000 x1  4 Ti 2.51, 8 Ni 2.66
Ni: 0.0000 0.5000 0.5000 x2  2 H 1.78
H: 0.0000 0.0000 0.5000 x1  4 Ni 1.78, 2 Ti 1.98

---

An optimized crystal structure of TiFeNi2H. Source: Alexandria via LeMat-Bulk, functional PBE.

Output
ΔE to the lowest computed polymorph	0.00	kcal/mol of atoms

Cell lengths 3.5897, 3.5897, 3.8047 Å; angles 90.00, 90.00, 90.00 degrees
Closest atoms and distances in Å follow each position.
Space group P4/mmm (No. 123)
Unique sites:
Ti: 0.0000 0.0000 0.0000 x1  4 Fe 2.54, 8 Ni 2.62
Fe: 0.5000 0.5000 0.0000 x1  2 H 1.90
Ni: 0.0000 0.5000 0.5000 x2  2 H 1.79
H: 0.5000 0.5000 0.5000 x1  4 Ni 1.79, 2 Fe 1.90

---

An optimized crystal structure of Ti2FeNiH. Source: Alexandria via LeMat-Bulk, functional PBE.

Output
ΔE to the lowest computed polymorph	0.00	kcal/mol of atoms

Cell lengths 4.1333, 4.1333, 3.2710 Å; angles 90.00, 90.00, 90.00 degrees
Closest atoms and distances in Å follow each position.
Space group P4/mmm (No. 123)
Unique sites:
Ti: 0.0000 0.5000 0.0000 x2  2 H 2.07
Fe: 0.0000 0.0000 0.5000 x1  8 Ti 2.64, 4 Ni 2.92
Ni: 0.5000 0.5000 0.5000 x1  2 H 1.64
H: 0.5000 0.5000 0.0000 x1  2 Ni 1.64

---

An optimized crystal structure of Ti2FeNiH. Source: Alexandria via LeMat-Bulk, functional PBE.

Output
ΔE to the lowest computed polymorph	0.10	kcal/mol of atoms

Cell lengths 4.0750, 4.0750, 3.3499 Å; angles 90.00, 90.00, 90.00 degrees
Closest atoms and distances in Å follow each position.
Space group P4/mmm (No. 123)
Unique sites:
Ti: 0.0000 0.5000 0.0000 x2  2 H 2.04
Fe: 0.0000 0.0000 0.5000 x1  2 H 1.67
Ni: 0.5000 0.5000 0.5000 x1  8 Ti 2.64, 4 Fe 2.88
H: 0.0000 0.0000 0.0000 x1  2 Fe 1.67

---

An optimized crystal structure of UFeNi2H8. Source: Alexandria via LeMat-Bulk, functional PBE.

Output
final energy	-4.763	eV per atom

Cell lengths 4.6533, 4.6533, 5.4683 Å; angles 90.00, 90.00, 120.00 degrees
Closest atoms and distances in Å follow each position.
Space group P-3m1 (No. 164)
Unique sites:
U: 0.0000 0.0000 0.0000 x1  6 H 2.28
Fe: 0.0000 0.0000 0.5000 x1  6 H 1.60
Ni: 0.3333 0.6667 0.1703 x2  4 H 1.52-1.63
H: 0.1657 0.3314 0.3387 x6  1 Fe 1.60, 1 Ni 1.63
H: 0.3333 0.6667 0.8924 x2  1 Ni 1.52

---

An optimized crystal structure of VFeNi2H. Source: Alexandria via LeMat-Bulk, functional PBE.

Output
ΔE to the lowest computed polymorph	0.32	kcal/mol of atoms

Cell lengths 3.5324, 3.5324, 3.8710 Å; angles 90.00, 90.00, 90.00 degrees
Closest atoms and distances in Å follow each position.
Space group P4/mmm (No. 123)
Unique sites:
V: 0.0000 0.0000 0.0000 x1  2 H 1.94
Fe: 0.5000 0.5000 0.0000 x1  4 V 2.50, 8 Ni 2.62
Ni: 0.0000 0.5000 0.5000 x2  2 H 1.77
H: 0.0000 0.0000 0.5000 x1  4 Ni 1.77, 2 V 1.94

---

An optimized crystal structure of VFe2NiH. Source: Alexandria via LeMat-Bulk, functional PBE.

Output
ΔE to the lowest computed polymorph	0.00	kcal/mol of atoms

Cell lengths 3.6556, 3.6556, 3.5513 Å; angles 90.00, 90.00, 90.00 degrees
Closest atoms and distances in Å follow each position.
Space group P4/mmm (No. 123)
Unique sites:
V: 0.0000 0.0000 0.0000 x1  8 Fe 2.55, 4 Ni 2.58
Fe: 0.0000 0.5000 0.5000 x2  2 H 1.83
Ni: 0.5000 0.5000 0.0000 x1  2 H 1.78
H: 0.5000 0.5000 0.5000 x1  2 Ni 1.78, 4 Fe 1.83

---

An optimized crystal structure of VFe2NiH. Source: Alexandria via LeMat-Bulk, functional PBE.

Output
ΔE to the lowest computed polymorph	0.59	kcal/mol of atoms

Cell lengths 3.5786, 3.5786, 3.7249 Å; angles 90.00, 90.00, 90.00 degrees
Closest atoms and distances in Å follow each position.
Space group P4/mmm (No. 123)
Unique sites:
V: 0.0000 0.0000 0.0000 x1  2 H 1.86
Fe: 0.0000 0.5000 0.5000 x2  2 H 1.79
Ni: 0.5000 0.5000 0.0000 x1  4 V 2.53, 8 Fe 2.58
H: 0.0000 0.0000 0.5000 x1  4 Fe 1.79, 2 V 1.86

---

An optimized crystal structure of VFeNi2H. Source: Alexandria via LeMat-Bulk, functional PBE.

Output
ΔE to the lowest computed polymorph	0.00	kcal/mol of atoms

Cell lengths 3.5336, 3.5336, 3.7719 Å; angles 90.00, 90.00, 90.00 degrees
Closest atoms and distances in Å follow each position.
Space group P4/mmm (No. 123)
Unique sites:
V: 0.0000 0.0000 0.0000 x1  4 Fe 2.50, 8 Ni 2.58
Fe: 0.5000 0.5000 0.0000 x1  2 H 1.89
Ni: 0.0000 0.5000 0.5000 x2  2 H 1.77
H: 0.5000 0.5000 0.5000 x1  4 Ni 1.77, 2 Fe 1.89

---

An optimized crystal structure of FeNiHW2. Source: Alexandria via LeMat-Bulk, functional PBE.

Output
ΔE to the lowest computed polymorph	0.62	kcal/mol of atoms

Cell lengths 3.9017, 3.9017, 3.6628 Å; angles 90.00, 90.00, 90.00 degrees
Closest atoms and distances in Å follow each position.
Space group P4/mmm (No. 123)
Unique sites:
Fe: 0.0000 0.0000 0.0000 x1  8 W 2.68, 4 Ni 2.76
Ni: 0.5000 0.5000 0.0000 x1  2 H 1.83
H: 0.5000 0.5000 0.5000 x1  2 Ni 1.83, 4 W 1.95
W: 0.0000 0.5000 0.5000 x2  2 H 1.95

---

An optimized crystal structure of FeNiHW2. Source: Alexandria via LeMat-Bulk, functional PBE.

Output
ΔE to the lowest computed polymorph	0.00	kcal/mol of atoms

Cell lengths 3.9179, 3.9179, 3.6412 Å; angles 90.00, 90.00, 90.00 degrees
Closest atoms and distances in Å follow each position.
Space group P4/mmm (No. 123)
Unique sites:
Fe: 0.0000 0.0000 0.0000 x1  2 H 1.82
Ni: 0.5000 0.5000 0.0000 x1  8 W 2.67, 4 Fe 2.77
H: 0.0000 0.0000 0.5000 x1  2 Fe 1.82, 4 W 1.96
W: 0.0000 0.5000 0.5000 x2  2 H 1.96

---

An optimized crystal structure of Y2FeNiH. Source: Alexandria via LeMat-Bulk, functional PBE.

Output
final energy	-6.321	eV per atom

Cell lengths 4.8199, 4.8199, 3.4144 Å; angles 90.00, 90.00, 90.00 degrees
Closest atoms and distances in Å follow each position.
Space group P4/mmm (No. 123)
Unique sites:
Y: 0.0000 0.5000 0.0000 x2  2 H 2.41
Fe: 0.0000 0.0000 0.5000 x1  2 H 1.71
Ni: 0.5000 0.5000 0.5000 x1  8 Y 2.95
H: 0.0000 0.0000 0.0000 x1  2 Fe 1.71

---

An optimized crystal structure of ZnFeNi2H. Source: Alexandria via LeMat-Bulk, functional PBE.

Output
ΔE to the lowest computed polymorph	3.11	kcal/mol of atoms

Cell lengths 3.5894, 3.5894, 3.8715 Å; angles 90.00, 90.00, 90.00 degrees
Closest atoms and distances in Å follow each position.
Space group P4/mmm (No. 123)
Unique sites:
Zn: 0.0000 0.0000 0.0000 x1  2 H 1.94
Fe: 0.5000 0.5000 0.0000 x1  4 Zn 2.54, 8 Ni 2.64
Ni: 0.0000 0.5000 0.5000 x2  2 H 1.79
H: 0.0000 0.0000 0.5000 x1  4 Ni 1.79, 2 Zn 1.94

---

An optimized crystal structure of Zn2FeNiH. Source: Alexandria via LeMat-Bulk, functional PBE.

Output
final energy	-3.942	eV per atom

Cell lengths 3.9588, 3.9588, 3.3404 Å; angles 90.00, 90.00, 90.00 degrees
Closest atoms and distances in Å follow each position.
Space group P4/mmm (No. 123)
Unique sites:
Zn: 0.0000 0.5000 0.0000 x2  2 H 1.98
Fe: 0.0000 0.0000 0.5000 x1  2 H 1.67
Ni: 0.5000 0.5000 0.5000 x1  8 Zn 2.59, 4 Fe 2.80
H: 0.0000 0.0000 0.0000 x1  2 Fe 1.67

---

An optimized crystal structure of ZnFeNi2H. Source: Alexandria via LeMat-Bulk, functional PBE.

Output
ΔE to the lowest computed polymorph	0.00	kcal/mol of atoms

Cell lengths 3.6392, 3.6392, 3.7023 Å; angles 90.00, 90.00, 90.00 degrees
Closest atoms and distances in Å follow each position.
Space group P4/mmm (No. 123)
Unique sites:
Zn: 0.0000 0.0000 0.0000 x1  4 Fe 2.57, 8 Ni 2.60
Fe: 0.5000 0.5000 0.0000 x1  2 H 1.85
Ni: 0.0000 0.5000 0.5000 x2  2 H 1.82
H: 0.5000 0.5000 0.5000 x1  4 Ni 1.82, 2 Fe 1.85

---

An optimized crystal structure of Zr2FeNiH. Source: Alexandria via LeMat-Bulk, functional PBE.

Output
ΔE to the lowest computed polymorph	0.11	kcal/mol of atoms

Cell lengths 4.5218, 4.5218, 3.3556 Å; angles 90.00, 90.00, 90.00 degrees
Closest atoms and distances in Å follow each position.
Space group P4/mmm (No. 123)
Unique sites:
Zr: 0.0000 0.5000 0.0000 x2  2 H 2.26
Fe: 0.0000 0.0000 0.5000 x1  2 H 1.68
Ni: 0.5000 0.5000 0.5000 x1  8 Zr 2.82
H: 0.0000 0.0000 0.0000 x1  2 Fe 1.68

---

An optimized crystal structure of Zr2FeNiH. Source: Alexandria via LeMat-Bulk, functional PBE.

Output
ΔE to the lowest computed polymorph	0.00	kcal/mol of atoms

Cell lengths 4.5227, 4.5227, 3.3368 Å; angles 90.00, 90.00, 90.00 degrees
Closest atoms and distances in Å follow each position.
Space group P4/mmm (No. 123)
Unique sites:
Zr: 0.0000 0.5000 0.0000 x2  2 H 2.26
Fe: 0.0000 0.0000 0.5000 x1  8 Zr 2.81
Ni: 0.5000 0.5000 0.5000 x1  2 H 1.67
H: 0.5000 0.5000 0.0000 x1  2 Ni 1.67

---

An optimized crystal structure of ZrFeNi2H. Source: Alexandria via LeMat-Bulk, functional PBE.

Output
final energy	-6.591	eV per atom

Cell lengths 3.7366, 3.7366, 3.9083 Å; angles 90.00, 90.00, 90.00 degrees
Closest atoms and distances in Å follow each position.
Space group P4/mmm (No. 123)
Unique sites:
Zr: 0.0000 0.0000 0.0000 x1  4 Fe 2.64, 8 Ni 2.70
Fe: 0.5000 0.5000 0.0000 x1  2 H 1.95
Ni: 0.0000 0.5000 0.5000 x2  2 H 1.87
H: 0.5000 0.5000 0.5000 x1  4 Ni 1.87, 2 Fe 1.95

---

An optimized crystal structure of NpFe2H7. Source: Alexandria via LeMat-Bulk, functional PBE.

Output
final energy	-5.344	eV per atom

Cell lengths 5.0338, 8.1636, 3.4765 Å; angles 90.00, 90.00, 90.00 degrees
Closest atoms and distances in Å follow each position.
Space group Cmmm (No. 65)
Unique sites:
Np: 0.0000 0.0000 0.0000 x2  10 H 2.29-2.50
Fe: 0.0000 0.3042 0.5000 x4  7 H 1.60-1.74
H: 0.0000 0.3059 0.0000 x4  2 Fe 1.74
H: 0.0000 0.5000 0.5000 x2  2 Fe 1.60
H: 0.1886 0.1398 0.5000 x8  2 Fe 1.63-1.64